Density functional theory data (PBE) for a relaxed structure of Ru2PbAu2.

Lattice parameters (Å, degrees): 3.687 3.687 14.418 90.00 90.00 90.00
Space group I4/mmm (No. 139)
Inequivalent atoms, fractional coordinates:
Ru  0.000  0.500  0.250 x4
Pb  0.000  0.000  0.000 x2
Au  0.000  0.000  0.396 x4

Output
electronic total energy: -0.385 Ry per atom